PmBe2Ir2 | PBE | optimized geometry

```
PmBe2Ir2
1.0
3.925 0.000 -1.466
-0.548 3.886 -1.466
-0.213 -0.245 5.415
Be Ir Pm
2 2 1
Cartesian
2.145 2.468 -0.245
1.019 1.173 2.727
0.464 2.792 1.241
2.700 0.849 1.241
0.000 0.000 0.000
```

* ρ: 11.4 g/cm³
* formation energy: -0.63 eV per atom
* size of the total moment: 0.00 μB/atom
* crystal system: tetragonal
* distance to the lowest polymorph of the same formula: 0 meV per atom



NaTa3S | PBE | optimized geometry

```
NaTa3S
1.0
4.639 0.000 0.000
0.000 4.639 0.000
0.000 0.000 4.639
S Ta Na
1 3 1
Cartesian
0.000 0.000 0.000
0.000 0.000 2.320
0.000 2.320 0.000
2.320 0.000 0.000
2.320 2.320 2.320
```

* energy relative to the elements, uncorrected: 624 meV/atom
* ρ: 9.9 g/cm³
* size of the total moment: 0.00 μB/atom
* crystal system: cubic
* distance to the lowest polymorph of the same formula: 0 meV per atom



ZnSi4Ru5 | PBE | optimized geometry

```
ZnSi4Ru5
1.0
2.943 0.000 0.000
0.000 2.943 0.000
0.000 0.000 14.922
Si Zn Ru
4 1 5
Cartesian
0.000 0.000 8.948
0.000 0.000 11.942
0.000 0.000 2.980
0.000 0.000 5.974
0.000 0.000 0.000
1.471 1.471 7.461
1.471 1.471 13.235
1.471 1.471 4.561
1.471 1.471 1.687
1.471 1.471 10.361
```

* energy relative to the elements, uncorrected: -555 meV/atom
* ρ: 8.8 g/cm³
* size of the total moment: 0.00 μB/atom
* crystal system: tetragonal



Zr2NiSb | PBE | optimized geometry

```
Zr2NiSb
1.0
2.681 2.960 -2.829
-4.288 1.543 1.783
3.934 2.998 6.866
Zr Ni Sb
4 2 2
Cartesian
-0.309 3.277 3.136
3.982 5.249 5.032
-1.654 2.252 0.788
2.636 4.223 2.684
0.986 4.264 5.395
1.342 3.237 0.425
0.000 0.000 0.000
1.967 1.499 3.433
```

* energy relative to the elements, uncorrected: 106 meV/atom
* ρ: 6.9 g/cm³
* size of the total moment: 0.00 μB/atom
* crystal system: hexagonal



AcMg5Ge2 | PBE | optimized geometry

```
AcMg5Ge2
1.0
-1.249 -3.507 2.225
3.453 -0.017 6.138
-4.548 2.083 4.957
Mg Ge Ac
5 2 1
Cartesian
-2.615 0.510 7.790
-2.662 -1.182 5.097
0.272 -1.952 5.530
0.318 -0.260 8.223
-0.547 1.033 5.547
-1.756 -1.012 10.101
-0.588 -0.430 3.220
0.000 0.000 0.000
```

* ρ: 4.3 g/cm³
* formation energy: -0.31 eV per atom
* size of the total moment: 0.00 μB/atom
* crystal system: orthorhombic



La2Pm9Er | PBE | optimized geometry

```
La2Pm9Er
1.0
5.167 0.000 0.000
0.000 5.167 0.000
0.000 0.000 15.521
Pm Er La
9 1 2
Cartesian
2.583 0.000 2.533
0.000 2.583 12.988
2.583 2.583 10.382
0.000 2.583 7.761
0.000 2.583 2.533
2.583 0.000 12.988
2.583 0.000 7.761
2.583 2.583 5.139
2.583 2.583 0.000
0.000 0.000 0.000
0.000 0.000 5.156
0.000 0.000 10.365
```

* ρ: 7.0 g/cm³
* formation energy: 0.02 eV per atom
* size of the total moment: 0.00 μB/atom
* crystal system: tetragonal
* distance to the lowest polymorph of the same formula: 0 meV per atom



AcSn5 | PBE | optimized geometry

```
AcSn5
1.0
-3.335 -1.565 -2.083
-2.126 -1.699 4.681
-2.586 7.581 -1.555
Sn Ac
5 1
Cartesian
-5.017 2.586 1.792
-2.731 -1.632 1.299
-2.497 4.606 0.538
-2.216 1.277 2.589
-3.030 1.732 -0.748
0.000 0.000 0.000
```

* ρ: 7.7 g/cm³
* formation energy: -0.25 eV per atom
* size of the total moment: 0.00 μB/atom
* crystal system: orthorhombic
* distance to the lowest polymorph of the same formula: 86 meV per atom



CoMoOs2 | PBE | optimized geometry

```
CoMoOs2
1.0
4.622 0.004 0.000
-1.465 4.384 0.000
0.000 0.000 2.748
Co Os Mo
1 2 1
Cartesian
2.311 0.002 1.374
0.000 0.000 0.000
1.579 2.194 0.000
-0.732 2.192 1.374
```

* ρ: 16.0 g/cm³
* formation energy: 0.18 eV per atom
* size of the total moment: 0.15 μB/atom
* crystal system: orthorhombic
* distance to the lowest polymorph of the same formula: 147 meV per atom



TlZnMoAs2 | PBE | optimized geometry

```
TlZnMoAs2
1.0
4.899 0.000 0.000
0.000 5.089 0.000
0.000 0.000 4.899
Tl As Mo Zn
1 2 1 1
Cartesian
0.000 2.545 0.000
0.000 0.000 2.449
2.449 0.000 0.000
2.449 2.545 2.449
0.000 0.000 0.000
```

* ρ: 7.0 g/cm³
* formation energy: 1.10 eV per atom
* size of the total moment: 0.75 μB/atom
* crystal system: tetragonal



In2TePb | PBE | optimized geometry

```
In2TePb
1.0
-4.828 -0.046 2.903
-1.682 -0.373 -2.804
-1.115 -6.850 -1.962
Pb In Te
1 2 1
Cartesian
-3.113 -1.829 0.260
-1.595 -3.657 -2.711
-2.600 -7.178 -4.437
-4.512 -5.440 -2.123
```

* energy relative to the elements, uncorrected: -20 meV/atom
* ρ: 7.7 g/cm³
* size of the total moment: 0.00 μB/atom
* crystal system: monoclinic
* distance to the lowest polymorph of the same formula: 65 meV per atom



RbTiOs3 | PBE | optimized geometry

```
RbTiOs3
1.0
-1.388 1.695 -4.236
-0.537 -4.457 -1.607
-4.530 0.009 1.488
Ti Os Rb
1 3 1
Cartesian
0.000 0.000 0.000
-0.268 -2.229 -0.804
-0.694 0.847 -2.118
-2.265 0.005 0.744
-3.227 -1.377 -2.177
```

* ρ: 10.8 g/cm³
* formation energy: 1.95 eV per atom
* size of the total moment: 0.49 μB/atom
* crystal system: cubic
* distance to the lowest polymorph of the same formula: 0 meV per atom



Sm2HoIn | PBE | optimized geometry

```
Sm2HoIn
1.0
4.932 0.000 0.000
0.000 4.882 0.000
0.000 0.000 4.882
Sm In Ho
2 1 1
Cartesian
0.000 0.000 2.441
0.000 2.441 0.000
2.466 0.000 0.000
2.466 2.441 2.441
```

* ρ: 8.2 g/cm³
* formation energy: -0.27 eV per atom
* size of the total moment: 0.04 μB/atom
* crystal system: tetragonal
* distance to the lowest polymorph of the same formula: 0 meV per atom



Number 1: VASP energy -6.6147 eV per atom. Number 2: VASP energy -7.5767 eV per atom. Number 3: VASP energy -7.4898 eV per atom. Number 4: VASP energy -6.6444 eV per atom. Number 5: VASP energy -2.9753 eV per atom. Number 6: VASP energy -4.7454 eV per atom. Number 7: VASP energy -4.2739 eV per atom. Number 8: VASP energy -9.9229 eV per atom. Number 9: VASP energy -3.6539 eV per atom. Number 10: VASP energy -3.1016 eV per atom. Number 11: VASP energy -6.5601 eV per atom. Number 12: VASP energy -4.4557 eV per atom.